(1)
PBE Ti8NbMo2, optimized geometry; calculated density = 5.8 Mg/m³; symmetry = C2/m; magnetic moment = 0.000 μB/atom; DFT formation energy = 0.1882 eV per atom; final energy = -0.3101 Ha/atom
1.0
4.871 -0.325 -0.488
-1.277 7.033 -0.739
-1.277 -3.390 6.206
Ti Mo Nb
8 2 1
Cartesian
1.159 4.715 0.454
2.095 3.766 3.066
-0.137 2.102 3.156
0.222 -0.449 1.914
1.159 -1.398 4.526
2.095 1.379 4.657
2.454 1.215 1.824
0.222 1.939 0.323
-1.277 3.888 1.357
-1.277 -0.245 4.110
2.436 -0.162 -0.244

(2)
PBE Ti2NbMo2, optimized geometry; calculated density = 7.5 Mg/m³; symmetry = P4/mbm; magnetic moment = 0.000 μB/atom; DFT formation energy = 0.3221 eV per atom; final energy = -0.3374 Ha/atom
1.0
-3.868 -5.568 -2.409
4.671 -4.556 3.030
-1.760 0.030 2.759
Ti Nb Mo
4 2 4
Cartesian
-1.821 -4.201 -1.117
2.625 -5.923 1.739
1.140 -2.420 0.754
-0.337 -7.704 -0.132
0.000 0.000 0.000
0.402 -5.062 0.311
-1.467 -2.609 1.033
-2.539 -6.234 0.388
0.510 -7.485 2.347
1.582 -3.860 2.992

(3)
PBE Ti6Nb3Mo, optimized geometry; calculated density = 6.3 Mg/m³; symmetry = P2_1/m; magnetic moment = 0.000 μB/atom; DFT formation energy = 0.1125 eV per atom; final energy = -0.3208 Ha/atom
1.0
-2.633 -0.626 -0.539
1.021 4.236 -9.906
2.687 -13.057 2.034
Ti Nb Mo
12 6 2
Cartesian
0.532 -2.390 -3.357
1.892 -11.362 0.418
1.602 -3.057 -7.811
-0.513 -1.732 -6.083
0.253 -3.483 -0.727
0.821 -5.964 -7.684
-1.318 -0.199 -3.930
-0.818 1.915 -8.829
2.392 -9.248 -4.481
0.542 -7.057 -5.055
-0.528 -6.390 -0.600
1.587 -7.714 -2.328
0.000 -4.310 -5.596
1.074 -5.137 -2.816
0.256 1.169 -6.139
0.819 -10.616 -2.272
2.638 -8.149 -6.960
-1.564 -1.298 -1.452
1.066 -0.411 -8.265
0.008 -9.036 -0.146

(4)
PBE Ti2Nb7Mo2, optimized geometry; calculated density = 7.7 Mg/m³; symmetry = C2/m; magnetic moment = 0.000 μB/atom; DFT formation energy = 0.1562 eV per atom; final energy = -0.3549 Ha/atom
1.0
5.314 -0.229 0.074
-2.187 4.849 0.074
0.169 0.250 7.980
Mo Ti Nb
2 2 7
Cartesian
2.701 3.990 5.438
0.596 0.881 2.690
3.622 1.100 4.064
-0.325 3.771 4.064
2.186 3.229 2.760
0.000 0.000 0.000
3.844 1.984 6.756
2.883 0.565 1.372
0.414 4.305 6.756
1.111 1.641 5.368
-0.547 2.887 1.372

(5)
PBE Ti4NbMo, optimized geometry; calculated density = 6.1 Mg/m³; symmetry = P-1; magnetic moment = 0.000 μB/atom; DFT formation energy = 0.0573 eV per atom; final energy = -0.3193 Ha/atom
1.0
4.748 -0.519 -1.770
-1.395 6.540 -2.513
-0.340 -0.481 7.243
Ti Mo Nb
8 2 2
Cartesian
2.367 1.084 -0.390
3.814 0.077 4.695
-0.802 5.462 -1.736
1.027 -0.027 4.216
-0.688 3.893 0.808
3.701 1.647 2.152
0.646 4.456 3.349
1.986 5.567 -1.256
0.895 3.205 -1.157
2.118 2.335 4.117
0.672 1.612 1.810
2.340 3.928 1.149

(6)
PBE Ti2NbMo2, optimized geometry; calculated density = 7.4 Mg/m³; symmetry = P4/mbm; magnetic moment = 0.000 μB/atom; DFT formation energy = 0.2326 eV per atom; final energy = -0.3407 Ha/atom
1.0
-0.294 1.851 -6.992
6.813 -2.278 -0.889
-1.100 -2.998 -0.748
Ti Mo Nb
4 4 2
Cartesian
5.070 -2.243 -5.658
1.603 -0.724 -6.649
3.817 -2.701 -1.979
0.350 -1.181 -2.971
4.212 0.074 -6.492
0.862 0.860 -4.715
2.307 -0.500 -1.389
5.658 -1.286 -3.166
3.260 -0.213 -3.940
0.000 0.000 0.000

(7)
PBE Ti2NbMo, optimized geometry; calculated density = 6.8 Mg/m³; symmetry = I-42d; magnetic moment = 0.000 μB/atom; DFT formation energy = 0.4410 eV per atom; final energy = -0.3209 Ha/atom
1.0
7.079 0.000 0.000
0.000 7.079 0.000
3.540 3.540 2.782
Nb Ti Mo
2 4 2
Cartesian
3.540 3.540 0.000
3.540 7.079 1.391
5.309 5.216 2.086
5.403 1.770 0.695
8.849 8.943 2.086
1.676 5.309 0.695
7.079 3.540 1.391
0.000 0.000 0.000

(8)
PBE Ti3Nb3Mo, optimized geometry; calculated density = 6.8 Mg/m³; symmetry = C2/m; magnetic moment = 0.000 μB/atom; DFT formation energy = 0.2158 eV per atom; final energy = -0.3319 Ha/atom
1.0
5.617 -0.310 -0.364
-0.345 6.735 0.128
-0.254 0.645 6.709
Nb Ti Mo
6 6 2
Cartesian
4.422 0.499 0.401
1.314 0.362 2.757
1.278 2.795 0.128
0.595 6.571 6.072
3.739 4.275 6.345
3.702 6.708 3.715
2.485 5.101 1.544
1.787 4.567 4.202
2.532 1.969 4.929
-0.321 5.129 1.863
3.230 2.503 2.271
5.338 1.940 4.610
4.682 4.391 3.999
0.335 2.678 2.474

(9)
PBE Ti6Nb2Mo, optimized geometry; calculated density = 6.1 Mg/m³; symmetry = P-1; magnetic moment = 0.000 μB/atom; DFT formation energy = 0.0065 eV per atom; final energy = -0.3196 Ha/atom
1.0
4.511 -0.780 -0.043
-0.843 8.521 4.461
-1.840 2.269 9.208
Nb Ti Mo
4 12 2
Cartesian
1.438 1.451 3.318
0.390 8.559 10.308
2.353 6.456 10.130
-0.526 3.554 3.495
2.035 4.805 7.874
-0.207 5.204 5.752
0.279 8.321 5.521
2.569 7.942 7.723
2.011 4.804 3.505
-0.184 5.206 10.120
-0.741 2.068 5.902
3.671 1.144 1.186
1.755 3.082 5.584
1.549 1.688 8.104
-1.843 8.866 12.439
0.072 6.928 8.042
2.291 6.372 5.615
-0.464 3.637 8.011

(10)
PBE TiNb3Mo4, optimized geometry; calculated density = 8.9 Mg/m³; symmetry = Pmmm; magnetic moment = 0.000 μB/atom; DFT formation energy = -0.1211 eV per atom; final energy = -0.3785 Ha/atom
1.0
-2.786 1.356 -0.877
-1.835 -4.134 -0.564
-2.715 0.023 8.659
Mo Nb Ti
4 3 1
Cartesian
-1.592 -2.061 1.868
-1.357 0.012 4.330
0.000 0.000 0.000
-2.958 -2.050 6.227
-2.062 0.684 1.694
-3.439 0.696 6.088
-3.668 -1.377 3.609
-2.311 -1.389 -0.721

(11)
PBE TiNbMo, optimized geometry; calculated density = 6.6 Mg/m³; symmetry = R-3m; magnetic moment = 0.000 μB/atom; DFT formation energy = 0.5457 eV per atom; final energy = -0.3327 Ha/atom
1.0
4.412 0.000 0.000
2.206 3.821 0.000
2.206 1.274 7.022
Ti Nb Mo
2 2 2
Cartesian
4.412 2.547 0.869
4.412 2.547 6.153
6.617 3.821 2.621
2.206 1.274 4.402
2.206 1.274 1.753
6.617 3.821 5.269

(12)
PBE TiNb2Mo2, optimized geometry; calculated density = 7.9 Mg/m³; symmetry = C2/m; magnetic moment = 0.000 μB/atom; DFT formation energy = 0.1774 eV per atom; final energy = -0.3587 Ha/atom
1.0
-1.810 -0.248 -4.027
-0.204 -6.617 -1.929
-6.201 -3.816 0.595
Nb Mo Ti
4 4 2
Cartesian
-4.565 -7.871 -2.319
-0.968 -4.099 -1.741
-3.650 -2.809 -3.042
-7.247 -6.581 -3.621
-5.345 -5.317 -2.126
-4.534 -6.782 -4.828
-3.681 -3.898 -0.533
-2.871 -5.363 -3.235
-1.723 -1.267 -1.575
-6.492 -9.414 -3.786

- Number 4 is which compound?
  Ti2Nb7Mo2